[1]
Material: TbDyCdIn
Method: DFT, GGA-PBE
State: optimized geometry

Fermi-level density of states: 0.966 states/eV per atom
VASP energy: -3.63 eV/atom
ΔE_f: -0.411 eV per atom
M_tot: 0.0 μB/cell

The structure in POSCAR format:
```
TbDyCdIn
1.0
5.311 0.000 0.000
2.656 4.600 0.000
2.656 1.533 4.337
Dy Cd In Tb
1 1 1 1
Direct
0.500 0.500 0.500 Dy
0.750 0.750 0.750 Cd
0.250 0.250 0.250 In
0.000 0.000 0.000 Tb
```

=====

[2]
Material: DyCdIn2Te4
Method: DFT, GGA-PBE
State: optimized geometry

Fermi-level density of states: 0.282 states/eV per atom
VASP energy: -3.54 eV/atom
Uncorrected formation energy: -0.599 eV per atom
M_tot: 0.0 μB/cell

The structure in POSCAR format:
```
DyCdIn2Te4
1.0
4.388 0.000 0.000
0.000 7.960 -0.209
0.000 2.754 7.247
Te Cd Dy In
4 1 1 2
Direct
0.500 0.736 0.263 Te
0.000 0.267 0.246 Te
0.000 0.733 0.754 Te
0.500 0.264 0.737 Te
0.500 0.500 0.000 Cd
0.000 0.500 0.500 Dy
0.500 0.000 0.500 In
0.000 0.000 0.000 In
```

=====

[3]
Material: Dy2ThCd2In2
Method: DFT, GGA-PBE
State: optimized geometry

Fermi-level density of states: 0.825 states/eV per atom
VASP energy: -3.59 eV/atom
ΔE_f: -0.174 eV per atom
M_tot: 0.0 μB/cell

The structure in POSCAR format:
```
Dy2ThCd2In2
1.0
4.996 0.000 0.000
2.498 4.327 0.000
2.498 1.442 8.795
Th Cd In Dy
1 2 2 2
Direct
0.000 0.000 0.000 Th
0.416 0.416 0.752 Cd
0.584 0.584 0.248 Cd
0.264 0.264 0.207 In
0.736 0.736 0.793 In
0.131 0.131 0.608 Dy
0.869 0.869 0.392 Dy
```

=====

[4]
Material: DyTiCdIn
Method: DFT, GGA-PBE
State: optimized geometry

Fermi-level density of states: 1.061 states/eV per atom
VASP energy: -4.18 eV/atom
ΔE_f: -0.140 eV per atom
M_tot: 1.6 μB/cell

The structure in POSCAR format:
```
DyTiCdIn
1.0
5.060 0.000 0.000
2.530 4.382 0.000
2.530 1.461 4.131
Ti Cd In Dy
1 1 1 1
Direct
0.500 0.500 0.500 Ti
0.750 0.750 0.750 Cd
0.250 0.250 0.250 In
0.000 0.000 0.000 Dy
```

=====

[5]
Material: Dy4TlCd2In
Method: DFT, GGA-PBE
State: optimized geometry

Fermi-level density of states: 1.060 states/eV per atom
VASP energy: -3.54 eV/atom
ΔE_f: -0.374 eV per atom
M_tot: 0.0 μB/cell

The structure in POSCAR format:
```
Dy4TlCd2In
1.0
-4.211 -2.513 -2.041
-2.746 -3.433 2.982
-7.472 4.473 2.999
Dy In Tl Cd
4 1 1 2
Direct
0.625 0.625 0.124 Dy
0.375 0.375 0.876 Dy
0.875 0.875 0.374 Dy
0.125 0.125 0.626 Dy
0.000 0.000 0.000 In
0.500 0.500 0.500 Tl
0.749 0.749 0.753 Cd
0.251 0.251 0.247 Cd
```

=====

[6]
Material: DyTlCdIn
Method: DFT, GGA-PBE
State: optimized geometry

Fermi-level density of states: 0.519 states/eV per atom
VASP energy: -2.96 eV/atom
ΔE_f: -0.304 eV per atom
ΔE to the lowest computed polymorph: 0 meV/atom
M_tot: 0.0 μB/cell

The structure in POSCAR format:
```
DyTlCdIn
1.0
-3.112 1.444 3.146
0.808 -3.730 2.511
3.387 2.284 2.302
In Dy Cd Tl
1 1 1 1
Direct
0.500 0.500 0.000 In
0.500 0.000 0.500 Dy
0.000 0.000 0.000 Cd
0.000 0.500 0.500 Tl
```